1.
AcTmGaPb (PBE, optimized geometry); E_form = -145 kJ/mol of formula units; V = 117.30 Å³/cell; D(E_F) = 0.66 states/eV/atom; total magnetic moment = 0.00 μB per cell; space group = No. 216
1.0
-4.6425 2.9373 0.0964
-4.7259 -2.3790 1.4823
-2.3363 1.2887 4.8032
Ac Ga Tm Pb
1 1 1 1
direct
0.2500 0.2500 0.2500
0.5000 0.5000 0.5000
0.7500 0.7500 0.7500
0.0000 0.0000 0.0000

2.
Te2SeICl (PBE, optimized geometry); V = 166.70 Å³/cell; relative energy among the computed polymorphs = 460 meV per atom; D(E_F) = 1.69 states/eV/atom; total magnetic moment = 0.40 μB per cell; E_form (uncorrected) = 0.935 eV per atom; space group = No. 123
1.0
-3.9371 1.4823 3.6069
2.7771 -2.5324 4.0721
2.6819 4.6052 1.0349
Te Se Cl I
2 1 1 1
direct
0.5000 0.0000 0.0000
0.0000 0.5000 0.0000
0.5000 0.5000 0.5000
0.0000 0.0000 0.0000
0.0000 0.0000 0.5000

> Look up the D(E_F) of the first one.

0.66 states/eV/atom

> What is the formula in the second record?

Te2SeICl

> Number 1 is which compound?

AcTmGaPb

> V of number 1 (AcTmGaPb)?

117.30 Å³/cell